MgNbCu after structural relaxation. Source: Alexandria via LeMat-Bulk, functional GGA-PBE.

Energy of formation (eV per atom): 0.253
Spin magnetization (μB/f.u.): 0.00
DFT total energy (eV/atom): -5.00
Polymorph energy (0 for the lowest one) (eV per atom): 0.210

Lattice parameters (Å, degrees): 3.762 3.762 7.124 90.00 90.00 90.00
Element x y z (fractional)
Nb: 0.000 0.500 0.113
Nb: 0.500 0.000 0.887
Mg: 0.000 0.000 0.500
Mg: 0.500 0.500 0.500
Cu: 0.000 0.500 0.760
Cu: 0.500 0.000 0.240

K2NaLi2Tl5 after structural relaxation. Source: Alexandria via LeMat-Bulk, functional GGA-PBE.

Energy of formation (eV per atom): -0.089
Spin magnetization (μB/f.u.): 0.00
DFT total energy (eV/atom): -2.01

Lattice parameters (Å, degrees): 4.036 12.024 12.024 90.00 90.00 90.00
Element x y z (fractional)
K: 0.000 0.680 0.180
K: 0.000 0.320 0.820
K: 0.000 0.180 0.320
K: 0.000 0.820 0.680
Na: 0.000 0.000 0.000
Na: 0.000 0.500 0.500
Li: 0.000 0.119 0.619
Li: 0.000 0.881 0.381
Li: 0.000 0.619 0.881
Li: 0.000 0.381 0.119
Tl: 0.500 0.205 0.059
Tl: 0.500 0.795 0.941
Tl: 0.500 0.059 0.795
Tl: 0.500 0.705 0.441
Tl: 0.500 0.941 0.205
Tl: 0.500 0.295 0.559
Tl: 0.500 0.559 0.705
Tl: 0.500 0.441 0.295
Tl: 0.500 0.500 0.000
Tl: 0.500 0.000 0.500

Sm4CuSn3 after structural relaxation. Source: Alexandria via LeMat-Bulk, functional GGA-PBE.

Energy of formation (eV per atom): -0.596
Spin magnetization (μB/f.u.): 0.00
DFT total energy (eV/atom): -4.97

Lattice parameters (Å, degrees): 4.467 4.391 11.488 90.00 90.00 90.00
Element x y z (fractional)
Sm: 0.500 0.500 0.353
Sm: 0.000 0.500 0.872
Sm: 0.000 0.000 0.135
Sm: 0.500 0.000 0.640
Cu: 0.500 0.500 0.073
Sn: 0.000 0.500 0.593
Sn: 0.000 0.000 0.411
Sn: 0.500 0.000 0.924

TlSiGe2 after structural relaxation. Source: Alexandria via LeMat-Bulk, functional GGA-PBE.

Spin magnetization (μB/f.u.): 0.00
Uncorrected formation energy (kJ/mol of atoms): 26.3
DFT total energy (eV/atom): -3.98
Polymorph energy (0 for the lowest one) (eV per atom): 0.027

Lattice parameters (Å, degrees): 6.046 6.046 7.202 65.18 65.18 90.00
Element x y z (fractional)
Tl: 0.000 0.000 0.000
Tl: 0.750 0.250 0.500
Si: 0.500 0.500 0.000
Si: 0.250 0.750 0.500
Ge: 0.581 0.125 0.250
Ge: 0.169 0.625 0.250
Ge: 0.375 0.419 0.750
Ge: 0.875 0.831 0.750

Be2CuCl6 after structural relaxation. Source: Alexandria via LeMat-Bulk, functional GGA-PBE.

Spin magnetization (μB/f.u.): 1.00
Uncorrected formation energy (kJ/mol of atoms): -104.0
DFT total energy (eV/atom): -3.59
Polymorph energy (0 for the lowest one) (eV per atom): 0.000

Lattice parameters (Å, degrees): 6.750 8.398 8.398 87.10 81.53 81.53
Element x y z (fractional)
Be: 0.239 0.778 0.741
Be: 0.261 0.259 0.222
Be: 0.761 0.222 0.259
Be: 0.739 0.741 0.778
Cu: 0.250 0.040 0.960
Cu: 0.750 0.960 0.040
Cl: 0.526 0.657 0.665
Cl: 0.974 0.335 0.343
Cl: 0.474 0.343 0.335
Cl: 0.026 0.665 0.657
Cl: 0.786 0.980 0.307
Cl: 0.714 0.693 0.020
Cl: 0.214 0.020 0.693
Cl: 0.286 0.307 0.980
Cl: 0.192 0.777 0.984
Cl: 0.308 0.016 0.223
Cl: 0.808 0.223 0.016
Cl: 0.692 0.984 0.777

CaTi2BeCd after structural relaxation. Source: Alexandria via LeMat-Bulk, functional GGA-PBE.

Energy of formation (eV per atom): 1.902
Spin magnetization (μB/f.u.): 0.00
DFT total energy (eV/atom): -2.58

Lattice parameters (Å, degrees): 4.646 5.303 4.646 90.00 90.00 90.00
Element x y z (fractional)
Be: 0.500 0.500 0.500
Ca: 0.000 0.000 0.000
Ti: 0.000 0.000 0.500
Ti: 0.500 0.000 0.000
Cd: 0.000 0.500 0.000

CrCuNi2 after structural relaxation. Source: Alexandria via LeMat-Bulk, functional GGA-PBE.

Energy of formation (eV per atom): 0.116
Spin magnetization (μB/f.u.): 1.29
DFT total energy (eV/atom): -6.20

Lattice parameters (Å, degrees): 2.477 3.673 4.969 90.00 90.00 90.00
Element x y z (fractional)
Cr: 0.000 0.000 0.488
Cu: 0.500 0.500 0.757
Ni: 0.000 0.000 0.998
Ni: 0.500 0.500 0.256

PaTc2Te after structural relaxation. Source: Alexandria via LeMat-Bulk, functional GGA-PBE.

Spin magnetization (μB/f.u.): 0.01
Uncorrected formation energy (kJ/mol of atoms): 4.4
DFT total energy (eV/atom): -8.30
Polymorph energy (0 for the lowest one) (eV per atom): 0.152

Lattice parameters (Å, degrees): 4.780 4.780 4.780 60.00 60.00 60.00
Element x y z (fractional)
Pa: 0.500 0.500 0.500
Te: 0.000 0.000 0.000
Tc: 0.250 0.250 0.250
Tc: 0.750 0.750 0.750